{
  "formula": "NaAg3OsO4",
  "functional": "GGA-PBE",
  "state": "optimized geometry",
  "lattice": [[-2.462, 1.480, 4.825], [-2.014, -5.210, 0.570], [4.627, -1.480, 2.815]],
  "species": ["Ag", "Ag", "Ag", "Na", "O", "O", "O", "O", "Os"],
  "frac_coords": [[0.500, 0.500, 0.000], [0.500, 0.000, 0.500], [0.000, 0.500, 0.500], [0.000, 0.000, 0.000], [0.298, 0.298, 0.298], [0.702, 0.702, 0.298], [0.702, 0.298, 0.702], [0.298, 0.702, 0.702], [0.500, 0.500, 0.500]],
  "e_tot_ev_per_cell": -41.54
}



{
  "formula": "SrCuNiSb",
  "functional": "GGA-PBE",
  "state": "optimized geometry",
  "lattice": [[-1.573, -3.805, 2.637], [-4.397, 0.154, 2.132], [-3.633, -2.806, -1.683]],
  "species": ["Cu", "Ni", "Sb", "Sr"],
  "frac_coords": [[0.750, 0.750, 0.750], [0.000, 0.000, 0.000], [0.250, 0.250, 0.250], [0.500, 0.500, 0.500]],
  "e_tot_ev_per_cell": -14.78
}



{
  "formula": "GdTlPO",
  "functional": "GGA-PBE",
  "state": "optimized geometry",
  "lattice": [[4.893, 0.000, 0.000], [0.000, 7.558, 0.000], [0.000, 0.000, 5.538]],
  "species": ["Gd", "Gd", "O", "O", "P", "P", "Tl", "Tl"],
  "frac_coords": [[0.500, 0.848, 0.003], [0.500, 0.152, 0.503], [0.500, 0.885, 0.384], [0.500, 0.115, 0.884], [0.000, 0.312, 0.429], [0.000, 0.688, 0.929], [0.000, 0.693, 0.438], [0.000, 0.307, 0.938]],
  "e_tot_ev_per_cell": -45.04
}



{
  "formula": "Mg3Mo",
  "functional": "GGA-PBE",
  "state": "optimized geometry",
  "lattice": [[-4.125, 1.444, 3.985], [-0.134, -5.308, -2.606], [2.824, -1.833, 3.588]],
  "species": ["Mg", "Mg", "Mg", "Mg", "Mg", "Mg", "Mo", "Mo"],
  "frac_coords": [[0.010, 0.505, 0.000], [0.495, 0.505, 0.000], [0.495, 0.990, 0.000], [0.838, 0.162, 0.500], [0.323, 0.162, 0.500], [0.838, 0.677, 0.500], [0.000, 0.000, 0.000], [0.333, 0.667, 0.500]],
  "e_tot_ev_per_cell": -28.11
}



{
  "formula": "YHoU",
  "functional": "GGA-PBE",
  "state": "optimized geometry",
  "lattice": [[2.032, -4.853, 0.322], [-2.206, -3.575, 3.185], [-2.616, -4.094, -2.045]],
  "species": ["Ho", "U", "Y"],
  "frac_coords": [[0.000, 0.000, 0.000], [0.250, 0.250, 0.250], [0.750, 0.750, 0.750]],
  "formation_energy_ev_per_atom": 1.29
}



{
  "formula": "ZnGeTe",
  "functional": "GGA-PBE",
  "state": "optimized geometry",
  "lattice": [[0.000, 3.459, 3.459], [3.459, 0.000, 3.459], [3.459, 3.459, 0.000]],
  "species": ["Ge", "Te", "Zn"],
  "frac_coords": [[0.250, 0.250, 0.250], [0.000, 0.000, 0.000], [0.750, 0.750, 0.750]],
  "e_tot_ev_per_cell": -8.00
}



{
  "formula": "CoSeS",
  "functional": "GGA-PBE",
  "state": "optimized geometry",
  "lattice": [[-0.341, -0.207, -3.288], [-10.230, 0.817, 1.010], [9.127, 4.637, -1.240]],
  "species": ["Co", "Co", "S", "S", "Se", "Se"],
  "frac_coords": [[0.000, 0.042, 0.042], [0.500, 0.627, 0.627], [0.000, 0.802, 0.660], [0.000, 0.660, 0.802], [0.500, 0.327, 0.198], [0.500, 0.198, 0.327]],
  "e_tot_ev_per_cell": -30.36
}



{
  "formula": "BeZnCd",
  "functional": "GGA-PBE",
  "state": "optimized geometry",
  "lattice": [[-0.379, 2.681, 3.067], [-3.607, 1.794, 0.716], [-2.154, -0.995, 3.333]],
  "species": ["Be", "Cd", "Zn"],
  "frac_coords": [[0.000, 0.000, 0.000], [0.250, 0.250, 0.250], [0.750, 0.750, 0.750]],
  "e_tot_ev_per_cell": -5.06
}